First-principles (PBE) data for an optimized crystal structure of NdTlPt, as listed in the Alexandria database.

a = 6.876 Å, b = 6.876 Å, c = 6.876 Å
α = 90.00°, β = 90.00°, γ = 90.00°
Space group F-43m (No. 216)
Unique sites:
Nd (0.000, 0.000, 0.000) x4
Tl (0.000, 0.000, 0.500) x4
Pt (0.250, 0.250, 0.750) x4

First-principles (PBE) data for an optimized crystal structure of Cu2IrBr, as listed in the Alexandria database.

Uncorrected formation energy   41.6 kJ/mol of atoms
Energy above the lowest structure with this stoichiometry   0.033 eV per atom

a = 8.254 Å, b = 2.982 Å, c = 6.205 Å
α = 90.00°, β = 101.13°, γ = 90.00°
Space group Cm (No. 8)
Unique sites:
Cu (0.000, 0.000, 0.000) x2
Cu (0.248, 0.500, 0.179) x2
Ir (0.258, 0.000, 0.848) x2
Br (0.144, 0.500, 0.521) x2

First-principles (PBE) data for an optimized crystal structure of ScCoRu2, as listed in the Alexandria database.

Energy above the lowest structure with this stoichiometry   0.062 eV per atom

a = 2.991 Å, b = 4.513 Å, c = 8.748 Å
α = 90.00°, β = 90.00°, γ = 90.00°
Space group Immm (No. 71)
Unique sites:
Sc (0.000, 0.000, 0.000) x2
Co (0.000, 0.000, 0.500) x2
Ru (0.000, 0.500, 0.234) x4

| no. | VASP energy (eV for the cell shown) |
| --- | --- |
| 1 | -60.707 |
| 2 | -34.004 |
| 3 | -64.014 |